A plane-wave DFT calculation with GGA-PBE was carried out for an optimized crystal structure of La5Nd4Tm4.

Unit cell a=13.1824 b=13.1824 c=5.1431 alpha=90.00 beta=90.00 gamma=90.00
Closest atoms and distances in Å follow each position.
Space group I4/m (No. 87)
Unique sites:
La 0.0000 0.0000 0.0000 x2  8 La 3.64, 4 Tm 3.70
La 0.0415 0.8087 0.5000 x8  5 Tm 3.59-3.69, 4 La 3.64-3.65, 3 Nd 3.64-3.69
Nd 0.0771 0.6160 0.0000 x8  4 Tm 3.62-3.65, 3 La 3.64-3.69, 5 Nd 3.66-3.67
Tm 0.1551 0.2335 0.0000 x8  6 La 3.59-3.70, 2 Tm 3.61, 4 Nd 3.62-3.65

Computed properties:
- Formation energy from the elements: 0.026 eV per atom
- E: -4.712 eV/atom